Entry 1:
# K2TiGeP2O10 SCAN single point on PBEsol structure
data_K2TiGeP2O10
_space_group_name_H-M_alt 'P 1'
_space_group_IT_number 1
_space_group_name_Hall 'P 1'
_cell_length_a 6.426
_cell_length_b 10.347
_cell_length_c 12.613
_cell_angle_alpha 90.00
_cell_angle_beta 90.00
_cell_angle_gamma 90.00
loop_
_atom_site_label
_atom_site_type_symbol
_atom_site_fract_x
_atom_site_fract_y
_atom_site_fract_z
O1 O 0.014 0.161 0.514
Ge1 Ge 0.746 0.773 0.746
O2 O 0.806 0.496 0.885
O3 O 0.455 0.154 0.228
K1 K 0.695 0.082 0.395
O4 O 0.966 0.900 0.510
O5 O 0.034 0.400 0.490
Ti1 Ti 0.998 0.524 0.368
O6 O 0.306 0.996 0.615
O7 O 0.534 0.900 0.010
O8 O 0.458 0.142 0.760
P1 P 0.835 0.775 0.499
K2 K 0.305 0.582 0.605
O9 O 0.187 0.558 0.885
Ti2 Ti 0.002 0.024 0.632
O10 O 0.542 0.642 0.240
O11 O 0.812 0.755 0.096
O12 O 0.556 0.897 0.227
K3 K 0.721 0.329 0.620
O13 O 0.188 0.255 0.904
P2 P 0.997 0.526 0.816
O14 O 0.545 0.654 0.772
O15 O 0.687 0.058 0.615
Ge2 Ge 0.754 0.773 0.246
O16 O 0.959 0.909 0.259
O17 O 0.191 0.292 0.099
O18 O 0.809 0.792 0.901
O19 O 0.986 0.661 0.486
O20 O 0.459 0.409 0.241
O21 O 0.688 0.755 0.596
O22 O 0.691 0.792 0.401
O23 O 0.444 0.397 0.773
Ge3 Ge 0.246 0.273 0.754
O24 O 0.486 0.161 0.014
P3 P 0.497 0.026 0.684
K4 K 0.779 0.329 0.120
O25 O 0.944 0.897 0.727
O26 O 0.958 0.642 0.740
K5 K 0.195 0.582 0.105
O27 O 0.541 0.909 0.759
Ti3 Ti 0.498 0.024 0.132
O28 O 0.313 0.558 0.385
O29 O 0.466 0.400 0.990
K6 K 0.805 0.082 0.895
O30 O 0.045 0.154 0.728
P4 P 0.503 0.526 0.316
O31 O 0.194 0.996 0.115
O32 O 0.041 0.409 0.741
O33 O 0.694 0.496 0.385
Ti4 Ti 0.502 0.524 0.868
O34 O 0.813 0.058 0.115
O35 O 0.042 0.142 0.260
P5 P 0.335 0.275 0.001
K7 K 0.221 0.829 0.880
O36 O 0.056 0.397 0.273
O37 O 0.309 0.292 0.599
P6 P 0.165 0.275 0.501
Ge4 Ge 0.254 0.273 0.254
O38 O 0.955 0.654 0.272
K8 K 0.279 0.829 0.380
O39 O 0.312 0.255 0.404
P7 P 0.003 0.026 0.184
P8 P 0.665 0.775 0.999
O40 O 0.514 0.661 0.986
# Total magnetic moment ... 0.00 μB/cell
# Formation energy (no corrections) ... -41.5 eV per formula unit

Entry 2:
# KGeRh2O SCAN single point on PBEsol structure
data_KGeRh2O
_space_group_name_H-M_alt 'P 1'
_space_group_IT_number 1
_space_group_name_Hall 'P 1'
_cell_length_a 4.484
_cell_length_b 4.484
_cell_length_c 6.301
_cell_angle_alpha 90.00
_cell_angle_beta 90.00
_cell_angle_gamma 90.00
loop_
_atom_site_label
_atom_site_type_symbol
_atom_site_fract_x
_atom_site_fract_y
_atom_site_fract_z
Ge1 Ge 0.000 0.000 0.000
K1 K 0.000 0.000 0.500
Rh1 Rh 0.000 0.500 0.000
O1 O 0.500 0.500 0.500
Rh2 Rh 0.500 0.000 0.000
# Total magnetic moment ... 2.59 μB/cell
# Formation energy (no corrections) ... 3.4 eV per formula unit

Entry 3:
# KSrGeO2 SCAN single point on PBEsol structure
data_KSrGeO2
_space_group_name_H-M_alt 'P 1'
_space_group_IT_number 1
_space_group_name_Hall 'P 1'
_cell_length_a 4.723
_cell_length_b 4.723
_cell_length_c 4.927
_cell_angle_alpha 90.00
_cell_angle_beta 90.00
_cell_angle_gamma 90.00
loop_
_atom_site_label
_atom_site_type_symbol
_atom_site_fract_x
_atom_site_fract_y
_atom_site_fract_z
Sr1 Sr 0.500 0.500 0.500
K1 K 0.000 0.000 0.000
O1 O 0.000 0.500 0.000
Ge1 Ge 0.000 0.000 0.500
O2 O 0.500 0.000 0.000
# Total magnetic moment ... 0.67 μB/cell
# Formation energy (no corrections) ... 0.6 eV per formula unit

Entry 4:
# KTaGeO5 SCAN single point on PBEsol structure
data_KTaGeO5
_space_group_name_H-M_alt 'P 1'
_space_group_IT_number 1
_space_group_name_Hall 'P 1'
_cell_length_a 6.677
_cell_length_b 11.057
_cell_length_c 13.446
_cell_angle_alpha 90.00
_cell_angle_beta 90.00
_cell_angle_gamma 90.00
loop_
_atom_site_label
_atom_site_type_symbol
_atom_site_fract_x
_atom_site_fract_y
_atom_site_fract_z
O1 O 0.674 0.269 0.899
Ta1 Ta 0.995 0.999 0.884
O2 O 0.700 0.959 0.891
Ta2 Ta 0.760 0.253 0.256
O3 O 0.715 0.525 0.108
O4 O 0.785 0.525 0.608
K1 K 0.213 0.442 0.389
O5 O 0.822 0.229 0.612
K2 K 0.772 0.705 0.371
Ge1 Ge 0.677 0.247 0.504
O6 O 0.538 0.112 0.496
O7 O 0.562 0.122 0.287
O8 O 0.200 0.459 0.609
O9 O 0.964 0.122 0.241
K3 K 0.728 0.705 0.871
O10 O 0.938 0.122 0.787
Ta3 Ta 0.005 0.499 0.116
Ge2 Ge 0.823 0.247 0.004
O11 O 0.962 0.112 0.996
O12 O 0.541 0.374 0.264
O13 O 0.285 0.025 0.892
O14 O 0.042 0.873 0.781
Ge3 Ge 0.507 0.497 0.182
O15 O 0.536 0.122 0.741
O16 O 0.178 0.729 0.388
Ta4 Ta 0.260 0.753 0.244
O17 O 0.041 0.874 0.236
O18 O 0.002 0.864 0.985
Ge4 Ge 0.323 0.747 0.496
Ge5 Ge 0.493 0.997 0.818
Ge6 Ge 0.177 0.747 0.996
O19 O 0.998 0.364 0.015
O20 O 0.959 0.374 0.764
O21 O 0.038 0.612 0.004
Ge7 Ge 0.993 0.497 0.682
Ta5 Ta 0.505 0.999 0.384
K4 K 0.228 0.205 0.629
O22 O 0.459 0.874 0.736
O23 O 0.438 0.622 0.713
O24 O 0.958 0.373 0.219
O25 O 0.036 0.622 0.759
O26 O 0.462 0.612 0.504
O27 O 0.502 0.364 0.515
O28 O 0.826 0.269 0.399
O29 O 0.498 0.864 0.485
O30 O 0.215 0.025 0.392
O31 O 0.062 0.622 0.213
O32 O 0.300 0.459 0.109
K5 K 0.272 0.205 0.129
K6 K 0.787 0.942 0.611
O33 O 0.678 0.229 0.112
O34 O 0.326 0.769 0.101
O35 O 0.174 0.769 0.601
Ge8 Ge 0.007 0.997 0.318
K7 K 0.713 0.942 0.111
O36 O 0.542 0.373 0.719
K8 K 0.287 0.442 0.889
Ta6 Ta 0.240 0.753 0.744
O37 O 0.458 0.873 0.281
O38 O 0.464 0.622 0.259
O39 O 0.322 0.729 0.888
Ta7 Ta 0.740 0.253 0.756
Ta8 Ta 0.495 0.499 0.616
O40 O 0.800 0.959 0.391
# Total magnetic moment ... 0.00 μB/cell
# Formation energy (no corrections) ... -19.9 eV per formula unit

Entry 5:
# KV3Ge2O9 SCAN single point on PBEsol structure
data_KV3Ge2O9
_space_group_name_H-M_alt 'P 1'
_space_group_IT_number 1
_space_group_name_Hall 'P 1'
_cell_length_a 5.792
_cell_length_b 5.792
_cell_length_c 13.749
_cell_angle_alpha 90.00
_cell_angle_beta 90.00
_cell_angle_gamma 120.00
loop_
_atom_site_label
_atom_site_type_symbol
_atom_site_fract_x
_atom_site_fract_y
_atom_site_fract_z
O1 O 0.337 0.169 0.415
O2 O 0.333 0.667 0.071
V1 V 0.000 0.500 0.000
O3 O 0.000 0.000 0.250
O4 O 0.667 0.333 0.571
O5 O 0.663 0.831 0.585
Ge1 Ge 0.000 0.000 0.123
V2 V 0.500 0.000 0.500
O6 O 0.337 0.169 0.085
O7 O 0.667 0.333 0.929
O8 O 0.169 0.337 0.915
O9 O 0.333 0.667 0.429
O10 O 0.169 0.831 0.915
Ge2 Ge 0.000 0.000 0.877
K1 K 0.333 0.667 0.750
V3 V 0.000 0.500 0.500
O11 O 0.000 0.000 0.750
V4 V 0.500 0.000 0.000
V5 V 0.500 0.500 0.000
O12 O 0.169 0.337 0.585
O13 O 0.831 0.663 0.085
Ge3 Ge 0.000 0.000 0.623
O14 O 0.831 0.663 0.415
K2 K 0.667 0.333 0.250
O15 O 0.831 0.169 0.415
V6 V 0.500 0.500 0.500
O16 O 0.663 0.831 0.915
Ge4 Ge 0.000 0.000 0.377
O17 O 0.831 0.169 0.085
O18 O 0.169 0.831 0.585
# Total magnetic moment ... 12.00 μB/cell
# Formation energy (no corrections) ... -34.3 eV per formula unit

Entry 6:
# K2ZrGe2O7 SCAN single point on PBEsol structure
data_K2ZrGe2O7
_space_group_name_H-M_alt 'P 1'
_space_group_IT_number 1
_space_group_name_Hall 'P 1'
_cell_length_a 5.555
_cell_length_b 5.715
_cell_length_c 12.894
_cell_angle_alpha 77.45
_cell_angle_beta 77.56
_cell_angle_gamma 60.92
loop_
_atom_site_label
_atom_site_type_symbol
_atom_site_fract_x
_atom_site_fract_y
_atom_site_fract_z
O1 O 0.470 0.849 0.899
O2 O 0.136 0.250 0.750
Ge1 Ge 0.319 0.304 0.621
O3 O 0.324 0.877 0.371
Ge2 Ge 0.756 0.804 0.121
O4 O 0.571 0.623 0.129
Zr1 Zr 0.500 0.500 0.000
O5 O 0.782 0.349 0.399
Ge3 Ge 0.681 0.696 0.379
Zr2 Zr 0.000 0.000 0.500
O6 O 0.926 0.306 0.959
O7 O 0.864 0.750 0.250
O8 O 0.530 0.151 0.101
O9 O 0.218 0.651 0.601
O10 O 0.429 0.377 0.871
Ge4 Ge 0.244 0.196 0.879
O11 O 0.191 0.194 0.541
O12 O 0.676 0.123 0.629
O13 O 0.074 0.694 0.041
K1 K 0.940 0.882 0.822
K2 K 0.060 0.118 0.178
K3 K 0.357 0.382 0.322
K4 K 0.643 0.618 0.678
O14 O 0.809 0.806 0.459
# Total magnetic moment ... 0.00 μB/cell
# Formation energy (no corrections) ... -29.2 eV per formula unit

Entry 7:
# KGeOs3 SCAN single point on PBEsol structure
data_KGeOs3
_space_group_name_H-M_alt 'P 1'
_space_group_IT_number 1
_space_group_name_Hall 'P 1'
_cell_length_a 4.547
_cell_length_b 4.547
_cell_length_c 4.547
_cell_angle_alpha 90.00
_cell_angle_beta 90.00
_cell_angle_gamma 90.00
loop_
_atom_site_label
_atom_site_type_symbol
_atom_site_fract_x
_atom_site_fract_y
_atom_site_fract_z
Os1 Os 0.500 0.000 0.000
K1 K 0.000 0.000 0.000
Os2 Os 0.000 0.000 0.500
Ge1 Ge 0.500 0.500 0.500
Os3 Os 0.000 0.500 0.000
# Total magnetic moment ... 2.09 μB/cell
# Calculated formation energy ... 20.71 eV/f.u.

Entry 8:
# KGeOsW2 SCAN single point on PBEsol structure
data_KGeOsW2
_space_group_name_H-M_alt 'P 1'
_space_group_IT_number 1
_space_group_name_Hall 'P 1'
_cell_length_a 4.518
_cell_length_b 4.505
_cell_length_c 4.505
_cell_angle_alpha 90.00
_cell_angle_beta 90.00
_cell_angle_gamma 90.00
loop_
_atom_site_label
_atom_site_type_symbol
_atom_site_fract_x
_atom_site_fract_y
_atom_site_fract_z
W1 W 0.000 0.500 0.000
Os1 Os 0.500 0.000 0.000
W2 W 0.000 0.000 0.500
Ge1 Ge 0.500 0.500 0.500
K1 K 0.000 0.000 0.000
# Total magnetic moment ... 0.00 μB/cell
# Calculated formation energy ... 20.30 eV/f.u.

Entry 9:
# KGeP3 SCAN single point on PBEsol structure
data_KGeP3
_space_group_name_H-M_alt 'P 1'
_space_group_IT_number 1
_space_group_name_Hall 'P 1'
_cell_length_a 4.829
_cell_length_b 4.829
_cell_length_c 4.829
_cell_angle_alpha 90.00
_cell_angle_beta 90.00
_cell_angle_gamma 90.00
loop_
_atom_site_label
_atom_site_type_symbol
_atom_site_fract_x
_atom_site_fract_y
_atom_site_fract_z
Ge1 Ge 0.000 0.000 0.000
P1 P 0.000 0.000 0.500
K1 K 0.500 0.500 0.500
P2 P 0.000 0.500 0.000
P3 P 0.500 0.000 0.000
# Total magnetic moment ... 0.00 μB/cell
# Calculated formation energy ... 3.14 eV/f.u.

Among the records above, which one has the highest total magnetic moment?
KV3Ge2O9

Which value of total magnetic moment does entry 3 give?
0.67 μB/cell

Look up the total magnetic moment of the fourth one.
0.00 μB/cell

Which value of total magnetic moment does entry 3 give?
0.67 μB/cell